# 1
# Ba3GaH

A relaxed Ba3GaH crystal (PBE, Alexandria via LeMat-Bulk). Values from VASP.

Values from the calculation:
The calculation puts the total magnetization at 0.000 μB per formula unit. The crystal system is cubic. The space group is Pm-3m. The value obtained for the polymorph energy (0 for the lowest one) is 105 meV per atom.

Geometry as Quantum ESPRESSO input:
```
&SYSTEM
  ibrav = 0, nat = 5, ntyp = 3
/
ATOMIC_SPECIES
H 1.01 H.upf
Ga 69.72 Ga.upf
Ba 137.33 Ba.upf
ATOMIC_POSITIONS angstrom
H 0.000 0.000 0.000
Ga -0.898 -2.548 -3.978
Ba 1.924 -0.971 -1.750
Ba -1.519 0.873 -2.154
Ba -1.304 -2.450 -0.074
CELL_PARAMETERS angstrom
-3.037 1.746 -4.307
3.848 -1.942 -3.501
-2.607 -4.900 -0.148
```



# 2
# Ba2GaH2

A relaxed Ba2GaH2 crystal (PBE, Alexandria via LeMat-Bulk). Values from VASP.

Values from the calculation:
The calculation puts the total magnetization at 0.000 μB per formula unit. The crystal system is tetragonal. The space group is P4/mbm. The value obtained for the polymorph energy (0 for the lowest one) is 146 meV per atom.

Geometry as Quantum ESPRESSO input:
```
&SYSTEM
  ibrav = 0, nat = 10, ntyp = 3
/
ATOMIC_SPECIES
Ba 137.33 Ba.upf
H 1.01 H.upf
Ga 69.72 Ga.upf
ATOMIC_POSITIONS angstrom
Ba 1.614 3.378 6.287
Ba 2.962 -0.059 8.260
H -0.351 2.796 4.252
Ba 3.144 -2.087 4.602
Ba 1.795 1.350 2.630
Ga 0.688 0.106 5.660
H 0.587 1.563 8.518
H 1.726 -2.585 7.069
H 0.789 -1.351 2.802
Ga 0.000 0.000 0.000
CELL_PARAMETERS angstrom
-1.034 5.541 5.768
2.409 -5.330 5.552
3.382 1.080 -0.431
```